## NdMgSn2 (PBE)

Data for a relaxed structure of NdMgSn2.

Lattice parameters (Å, degrees): 7.5595 7.5595 7.5595 90.00 90.00 90.00
Atoms (fractional coordinates):
Nd  0.0000  0.0000  0.0000
Nd  0.0000  0.5000  0.5000
Nd  0.5000  0.0000  0.5000
Nd  0.5000  0.5000  0.0000
Mg  0.0000  0.0000  0.5000
Mg  0.0000  0.5000  0.0000
Mg  0.5000  0.0000  0.0000
Mg  0.5000  0.5000  0.5000
Sn  0.2500  0.2500  0.2500
Sn  0.2500  0.2500  0.7500
Sn  0.2500  0.7500  0.2500
Sn  0.2500  0.7500  0.7500
Sn  0.7500  0.2500  0.2500
Sn  0.7500  0.2500  0.7500
Sn  0.7500  0.7500  0.2500
Sn  0.7500  0.7500  0.7500

* calculated formation energy: -338.9 meV/atom
* space group: Fm-3m, No. 225
* E_tot: -62.9 eV for the cell shown